No. 1
Material: BaLa2Co
Method: DFT, meta-GGA SCAN
State: single point on PBEsol structure

Cell: 4.033 4.033 10.133 Å, 78.52 78.52 60.00°
Element x y z (fractional)
La (0.715, 0.715, 0.854)
La (0.285, 0.285, 0.146)
Ba (0.500, 0.500, 0.500)
Co (0.000, 0.000, 0.000)

SG ... No. 166
Energy relative to the lowest polymorph listed for this composition ... 0.000 eV per atom
DFT formation energy ... 0.044 eV per atom

=====

No. 2
Material: Ba3Pt
Method: DFT, meta-GGA SCAN
State: single point on PBEsol structure

Cell: 4.493 4.493 11.264 Å, 78.50 78.50 60.00°
Element x y z (fractional)
Ba (0.500, 0.500, 0.500)
Ba (0.718, 0.718, 0.846)
Ba (0.282, 0.282, 0.154)
Pt (0.000, 0.000, 0.000)

SG ... No. 166
DFT formation energy ... -0.514 eV per atom

=====

No. 3
Material: SmGe5
Method: DFT, meta-GGA SCAN
State: single point on PBEsol structure

Cell: 3.982 6.058 6.058 Å, 60.74 70.81 70.81°
Element x y z (fractional)
Ge (0.832, 0.876, 0.461)
Ge (0.832, 0.461, 0.876)
Ge (0.500, 0.500, 0.500)
Ge (0.168, 0.124, 0.539)
Ge (0.168, 0.539, 0.124)
Sm (0.500, 0.000, 0.000)

SG ... No. 71
DFT formation energy ... -0.268 eV per atom

=====

No. 4
Material: Sc2CdNi
Method: DFT, meta-GGA SCAN
State: single point on PBEsol structure

Cell: 3.193 3.193 7.111 Å, 90.00 90.00 90.00°
Element x y z (fractional)
Ni (0.500, 0.500, 0.500)
Sc (0.000, 0.000, 0.711)
Sc (0.000, 0.000, 0.289)
Cd (0.500, 0.500, 0.000)

SG ... No. 123
DFT formation energy ... -0.470 eV per atom

=====

No. 5
Material: MgMn2Cl
Method: DFT, meta-GGA SCAN
State: single point on PBEsol structure

Cell: 3.731 3.731 5.766 Å, 108.87 108.87 90.00°
Element x y z (fractional)
Mn (0.750, 0.250, 0.500)
Mn (0.250, 0.750, 0.500)
Cl (0.500, 0.500, 0.000)
Mg (0.000, 0.000, 0.000)

ΔE_f (raw) ... -15 meV/atom
SG ... No. 139
Energy relative to the lowest polymorph listed for this composition ... 0.308 eV per atom

=====

No. 6
Material: LaY2Ru
Method: DFT, meta-GGA SCAN
State: single point on PBEsol structure

Cell: 4.335 4.335 5.940 Å, 111.40 111.40 90.00°
Element x y z (fractional)
La (0.500, 0.500, 0.000)
Y (0.000, 0.000, 0.000)
Y (0.750, 0.250, 0.500)
Ru (0.250, 0.750, 0.500)

SG ... No. 119
Energy relative to the lowest polymorph listed for this composition ... 0.434 eV per atom
DFT formation energy ... 0.162 eV per atom

=====

No. 7
Material: BaCaSc2
Method: DFT, meta-GGA SCAN
State: single point on PBEsol structure

Cell: 3.975 5.660 5.712 Å, 90.00 90.00 90.00°
Element x y z (fractional)
Ba (0.500, 0.000, 0.500)
Sc (0.500, 0.500, 0.000)
Sc (0.000, 0.000, 0.000)
Ca (0.000, 0.500, 0.500)

SG ... No. 47
Energy relative to the lowest polymorph listed for this composition ... 0.137 eV per atom
DFT formation energy ... 0.421 eV per atom

=====

No. 8
Material: VF5
Method: DFT, meta-GGA SCAN
State: single point on PBEsol structure

Cell: 4.544 6.221 6.221 Å, 90.00 90.00 90.00°
Element x y z (fractional)
F (0.264, 0.259, 0.419)
F (0.264, 0.741, 0.581)
F (0.736, 0.759, 0.919)
F (0.264, 0.081, 0.759)
F (0.736, 0.241, 0.081)
F (0.736, 0.581, 0.259)
F (0.735, 0.000, 0.500)
F (0.736, 0.419, 0.741)
F (0.264, 0.919, 0.241)
F (0.265, 0.500, 0.000)
V (0.640, 0.500, 0.000)
V (0.360, 0.000, 0.500)

ΔE_f (raw) ... -2792 meV/atom
SG ... No. 85